## NaSr3Ca (PBEsol)

Data for a relaxed structure of NaSr3Ca.

a b c (Å): 6.4174 6.4174 6.4174
angles (deg): 90.00 90.00 90.00
With the nearest neighbours (Å) after each atom.
Fractional coordinates of all 5 atoms:
Na: 0.0000 0.0000 0.0000  6 Sr 3.21
Sr: 0.0000 0.0000 0.5000  2 Na 3.21
Sr: 0.0000 0.5000 0.0000  2 Na 3.21
Sr: 0.5000 0.0000 0.0000  2 Na 3.21
Ca: 0.5000 0.5000 0.5000  12 Sr 4.54

SG ... Pm-3m
Theoretical density ... 2.0 g/cm3
Spin magnetization ... 0.00 μB/atom
ΔH_f (0 K) ... 0.320 eV per atom
Total energy ... -7.5 eV for the cell shown

***

## NaCaTa3 (PBEsol)

Data for a relaxed structure of NaCaTa3.

a b c (Å): 4.7992 4.7992 4.7992
angles (deg): 90.00 90.00 90.00
With the nearest neighbours (Å) after each atom.
Fractional coordinates of all 5 atoms:
Na: 0.0000 0.0000 0.0000  6 Ta 2.40
Ca: 0.5000 0.5000 0.5000  12 Ta 3.39
Ta: 0.0000 0.0000 0.5000  2 Na 2.40
Ta: 0.0000 0.5000 0.0000  2 Na 2.40
Ta: 0.5000 0.0000 0.0000  2 Na 2.40

SG ... Pm-3m
Energy above the most stable polymorph in this dataset ... 0 meV/atom
Theoretical density ... 9.1 g/cm3
Spin magnetization ... 0.00 μB/atom
ΔH_f (0 K) ... 2.248 eV per atom
Total energy ... -29.9 eV for the cell shown

***

## NaCa2Tc (PBEsol)

Data for a relaxed structure of NaCa2Tc.

a b c (Å): 5.2213 5.2213 5.2213
angles (deg): 60.00 60.00 60.00
With the nearest neighbours (Å) after each atom.
Fractional coordinates of all 4 atoms:
Na: 0.0000 0.0000 0.0000  8 Ca 3.20
Ca: 0.2500 0.2500 0.2500  4 Tc 3.20, 4 Na 3.20
Ca: 0.7500 0.7500 0.7500  4 Tc 3.20, 4 Na 3.20
Tc: 0.5000 0.5000 0.5000  8 Ca 3.20

SG ... Fm-3m
Theoretical density ... 3.3 g/cm3
Spin magnetization ... 0.45 μB/atom
ΔH_f (0 K) ... 0.696 eV per atom
Total energy ... -14.1 eV for the cell shown

***

## NaCaTe2 (PBEsol)

Data for a relaxed structure of NaCaTe2.

a b c (Å): 6.8198 6.8198 6.8198
angles (deg): 105.21 105.21 118.37
With the nearest neighbours (Å) after each atom.
Fractional coordinates of all 8 atoms:
Na: 0.0000 0.0000 0.0000  4 Te 3.04
Na: 0.7500 0.2500 0.5000  4 Te 3.04
Ca: 0.2500 0.7500 0.5000  4 Te 3.07
Ca: 0.5000 0.5000 0.0000  4 Te 3.07
Te: 0.1219 0.1250 0.4969  2 Na 3.04, 2 Ca 3.07
Te: 0.3750 0.8781 0.0031  2 Na 3.04, 2 Ca 3.07
Te: 0.6281 0.6250 0.5031  2 Na 3.04, 2 Ca 3.07
Te: 0.8750 0.3719 0.9969  2 Na 3.04, 2 Ca 3.07

ΔE_f (raw) ... -373 kJ/mol of formula units
SG ... I-42d
Theoretical density ... 4.4 g/cm3
Spin magnetization ... 0.00 μB/atom
Total energy ... -28.9 eV for the cell shown

***

## NaCaTe3 (PBEsol)

Data for a relaxed structure of NaCaTe3.

a b c (Å): 5.7964 5.7964 5.7964
angles (deg): 90.00 90.00 90.00
With the nearest neighbours (Å) after each atom.
Fractional coordinates of all 5 atoms:
Na: 0.0000 0.0000 0.0000  12 Te 4.10
Ca: 0.5000 0.5000 0.5000  6 Te 2.90
Te: 0.0000 0.5000 0.5000  2 Ca 2.90
Te: 0.5000 0.0000 0.5000  2 Ca 2.90
Te: 0.5000 0.5000 0.0000  2 Ca 2.90

ΔE_f (raw) ... -144 kJ/mol of formula units
SG ... Pm-3m
Theoretical density ... 3.8 g/cm3
Spin magnetization ... 0.00 μB/atom
Total energy ... -15.6 eV for the cell shown

***

## NaCaTi2Zn (PBEsol)

Data for a relaxed structure of NaCaTi2Zn.

a b c (Å): 4.8942 4.8942 5.3233
angles (deg): 90.00 90.00 90.00
With the nearest neighbours (Å) after each atom.
Fractional coordinates of all 5 atoms:
Na: 0.0000 0.0000 0.0000  2 Zn 2.66
Ca: 0.5000 0.5000 0.0000  4 Na 3.46, 8 Ti 3.62
Ti: 0.0000 0.5000 0.5000  2 Zn 2.45
Ti: 0.5000 0.0000 0.5000  2 Zn 2.45
Zn: 0.0000 0.0000 0.5000  4 Ti 2.45, 2 Na 2.66

SG ... P4/mmm
Theoretical density ... 2.9 g/cm3
Spin magnetization ... 0.69 μB/atom
ΔH_f (0 K) ... 0.735 eV per atom
Total energy ... -18.1 eV for the cell shown

***

## NaCa2Tl (PBEsol)

Data for a relaxed structure of NaCa2Tl.

a b c (Å): 5.5019 5.5019 5.5019
angles (deg): 60.00 60.00 60.00
With the nearest neighbours (Å) after each atom.
Fractional coordinates of all 4 atoms:
Na: 0.0000 0.0000 0.0000  8 Ca 3.37
Ca: 0.2500 0.2500 0.2500  4 Tl 3.37, 4 Na 3.37
Ca: 0.7500 0.7500 0.7500  4 Tl 3.37, 4 Na 3.37
Tl: 0.5000 0.5000 0.5000  8 Ca 3.37

SG ... Fm-3m
Theoretical density ... 4.3 g/cm3
Spin magnetization ... 0.00 μB/atom
ΔH_f (0 K) ... -0.269 eV per atom
Total energy ... -9.4 eV for the cell shown

***

## Na2Ca2Tl (PBEsol)

Data for a relaxed structure of Na2Ca2Tl.

a b c (Å): 10.4057 10.4057 10.4057
angles (deg): 157.37 157.37 32.22
With the nearest neighbours (Å) after each atom.
Fractional coordinates of all 5 atoms:
Na: 0.2500 0.7500 0.5000  4 Na 2.89
Na: 0.7500 0.2500 0.5000  4 Na 2.89
Ca: 0.0877 0.0877 0.0000  4 Tl 3.38, 1 Ca 3.51
Ca: 0.9123 0.9123 0.0000  4 Tl 3.38, 1 Ca 3.51
Tl: 0.5000 0.5000 0.0000  8 Ca 3.38

SG ... I4/mmm
Theoretical density ... 3.3 g/cm3
Spin magnetization ... 0.00 μB/atom
ΔH_f (0 K) ... -0.031 eV per atom
Total energy ... -9.8 eV for the cell shown

***

## Na2CaTl2 (PBEsol)

Data for a relaxed structure of Na2CaTl2.

a b c (Å): 8.2982 8.2982 8.2982
angles (deg): 149.75 149.75 43.31
With the nearest neighbours (Å) after each atom.
Fractional coordinates of all 5 atoms:
Na: 0.2500 0.7500 0.5000  4 Na 3.06, 4 Tl 3.18
Na: 0.7500 0.2500 0.5000  4 Na 3.06, 4 Tl 3.18
Ca: 0.0000 0.0000 0.0000  8 Tl 3.42
Tl: 0.4009 0.4009 0.0000  1 Tl 3.06, 4 Na 3.18, 4 Ca 3.42
Tl: 0.5991 0.5991 0.0000  1 Tl 3.06, 4 Na 3.18, 4 Ca 3.42

SG ... I4/mmm
Theoretical density ... 5.7 g/cm3
Spin magnetization ... 0.00 μB/atom
ΔH_f (0 K) ... -0.150 eV per atom
Total energy ... -10.9 eV for the cell shown

***

## NaCa3Tl (PBEsol)

Data for a relaxed structure of NaCa3Tl.

a b c (Å): 5.8317 5.8317 5.8317
angles (deg): 90.00 90.00 90.00
With the nearest neighbours (Å) after each atom.
Fractional coordinates of all 5 atoms:
Na: 0.0000 0.0000 0.0000  6 Ca 2.92
Ca: 0.0000 0.0000 0.5000  2 Na 2.92
Ca: 0.0000 0.5000 0.0000  2 Na 2.92
Ca: 0.5000 0.0000 0.0000  2 Na 2.92
Tl: 0.5000 0.5000 0.5000  12 Ca 4.12

SG ... Pm-3m
Theoretical density ... 2.9 g/cm3
Spin magnetization ... 0.00 μB/atom
ΔH_f (0 K) ... 0.434 eV per atom
Total energy ... -8.3 eV for the cell shown

***

## NaCaW3 (PBEsol)

Data for a relaxed structure of NaCaW3.

a b c (Å): 4.6480 4.6480 4.6480
angles (deg): 90.00 90.00 90.00
With the nearest neighbours (Å) after each atom.
Fractional coordinates of all 5 atoms:
Na: 0.0000 0.0000 0.0000  6 W 2.32
Ca: 0.5000 0.5000 0.5000  12 W 3.29
W: 0.0000 0.0000 0.5000  2 Na 2.32
W: 0.0000 0.5000 0.0000  2 Na 2.32
W: 0.5000 0.0000 0.0000  2 Na 2.32

SG ... Pm-3m
Theoretical density ... 10.2 g/cm3
Spin magnetization ... 0.00 μB/atom
ΔH_f (0 K) ... 2.947 eV per atom
Total energy ... -30.2 eV for the cell shown

***

## NaCa2Y (PBEsol)

Data for a relaxed structure of NaCa2Y.

a b c (Å): 5.8874 5.8874 5.8874
angles (deg): 60.00 60.00 60.00
With the nearest neighbours (Å) after each atom.
Fractional coordinates of all 4 atoms:
Na: 0.0000 0.0000 0.0000  8 Ca 3.61
Ca: 0.2500 0.2500 0.2500  4 Y 3.61, 4 Na 3.61
Ca: 0.7500 0.7500 0.7500  4 Y 3.61, 4 Na 3.61
Y: 0.5000 0.5000 0.5000  8 Ca 3.61

SG ... Fm-3m
Theoretical density ... 2.2 g/cm3
Spin magnetization ... 0.00 μB/atom
ΔH_f (0 K) ... 0.258 eV per atom
Total energy ... -11.5 eV for the cell shown